5
Lattice="-0.1127 -4.2909 -0.8448 2.9896 -0.6924 3.1178 -3.1918 -0.4970 2.9501" Properties=species:S:1:pos:R:3 comment="GGA-PBE TaCu3Cl, relaxed" polymorph_energy_mev_per_atom=0 crystal_system=cubic e_form_raw_ev_per_atom=1.25 vol_a3_per_atom=16.744 pbc="T T T"
Cl 0.0000 0.0000 0.0000
Cu 1.4948 -0.3462 1.5589
Cu -1.5959 -0.2485 1.4751
Cu -0.0564 -2.1454 -0.4224
Ta -0.1575 -2.7401 2.6116